Record 1
A plane-wave DFT calculation with PBE was carried out for a relaxed Th6Te5Pd crystal.

Cell lengths 7.6042, 7.8128, 7.7201 Å; angles 59.60, 80.29, 70.53 degrees
Element x y z (fractional)
Te: 0.5000 0.1857 0.6287
Te: 0.0000 0.3417 0.3167
Te: 0.5000 0.5000 0.0000
Te: 0.0000 0.6583 0.6833
Te: 0.5000 0.8143 0.3713
Pd: 0.0000 0.0000 0.0000
Th: 0.7711 0.0736 0.3087
Th: 0.2289 0.6176 0.3087
Th: 0.2620 0.2170 0.0000
Th: 0.7380 0.7830 0.0000
Th: 0.7711 0.3824 0.6913
Th: 0.2289 0.9264 0.6913

Properties
**Formation energy from raw total energies**: -0.982 eV/atom
**DFT total energy**: -77.21 eV for the cell shown
**Spin magnetization**: 0.0 μB/f.u.

***

Record 2
A plane-wave DFT calculation with PBE was carried out for a relaxed NaLa3Ir crystal.

Cell lengths 26.8204, 7.2284, 9.9049 Å; angles 90.00, 158.35, 90.00 degrees
Element x y z (fractional)
Na: 0.0854 0.1606 0.6721
Na: 0.9146 0.8394 0.3279
Na: 0.4146 0.6606 0.8279
Na: 0.5854 0.3394 0.1721
Ir: 0.3838 0.7555 0.2276
Ir: 0.6162 0.2445 0.7724
Ir: 0.1162 0.2555 0.2724
Ir: 0.8838 0.7445 0.7276
La: 0.1360 0.9107 0.4731
La: 0.8640 0.0893 0.5269
La: 0.3640 0.4107 0.0269
La: 0.6360 0.5893 0.9731
La: 0.2395 0.6103 0.0744
La: 0.7605 0.3897 0.9256
La: 0.2605 0.1103 0.4256
La: 0.7395 0.8897 0.5744
La: 0.5472 0.9321 0.4387
La: 0.4528 0.0679 0.5613
La: 0.9528 0.4321 0.0613
La: 0.0472 0.5679 0.9387

Properties
**DFT total energy**: -105.20 eV for the cell shown
**Spin magnetization**: 0.0 μB/f.u.
**Excess energy over the best structure of this formula in the dataset**: 57 meV/atom
**Energy of formation from the pure elements**: -25.8 kJ/mol of atoms

***

Record 3
A plane-wave DFT calculation with PBE was carried out for a relaxed CsHg2Sb crystal.

Cell lengths 6.2707, 9.3640, 12.8821 Å; angles 90.01, 90.02, 90.00 degrees
Element x y z (fractional)
Cs: 0.2501 0.4998 0.2500
Cs: 0.7499 0.5002 0.7500
Cs: 0.7501 0.0002 0.2500
Cs: 0.2499 0.9998 0.7500
Hg: 0.7776 0.0003 0.9670
Hg: 0.2224 0.9997 0.0330
Hg: 0.2777 0.4992 0.5329
Hg: 0.7223 0.5008 0.4671
Hg: 0.7781 0.4996 0.0328
Hg: 0.2219 0.5004 0.9672
Hg: 0.2780 0.0010 0.4672
Hg: 0.7220 0.9990 0.5328
Sb: 0.9997 0.2504 0.4999
Sb: 0.0003 0.7496 0.5001
Sb: 0.5003 0.2498 0.0001
Sb: 0.4997 0.7502 0.9999

Properties
**Formation energy from raw total energies**: -0.157 eV/atom
**DFT total energy**: -24.84 eV for the cell shown
**Spin magnetization**: 0.0 μB/f.u.

***

Record 4
A plane-wave DFT calculation with PBE was carried out for a relaxed Pu2TiZn6 crystal.

Cell lengths 2.8930, 7.9822, 7.9822 Å; angles 60.00, 89.99, 89.99 degrees
Site moments in Bohr magnetons follow the coordinates.
Element x y z (fractional)
Pu: 0.0000 0.3333 0.3333  5.38
Pu: 0.0000 0.6667 0.6667  5.38
Ti: 0.0000 0.0000 0.0000  -0.50
Zn: 0.4998 0.6820 0.0000  -0.01
Zn: 0.5002 0.0000 0.3180  -0.01
Zn: 0.5002 0.3180 0.0000  -0.01
Zn: 0.5000 0.6819 0.3180  -0.01
Zn: 0.4998 0.0000 0.6820  -0.01
Zn: 0.5000 0.3180 0.6819  -0.01

Properties
**DFT total energy**: -45.58 eV for the cell shown
**Spin magnetization**: 10.3 μB/f.u.
**Energy of formation from the pure elements**: -14.7 kJ/mol of atoms

***

Record 5
A plane-wave DFT calculation with PBE was carried out for a relaxed BaICl crystal.

Cell lengths 6.5392, 4.9846, 4.9846 Å; angles 120.00, 90.00, 90.00 degrees
Element x y z (fractional)
I: 0.7365 0.6667 0.3333
Ba: 0.0445 0.0000 0.0000
Cl: 0.2190 0.3333 0.6667

Properties
**Formation energy from raw total energies**: -2.103 eV/atom
**DFT total energy**: -11.63 eV for the cell shown
**Spin magnetization**: 0.0 μB/f.u.

***

Record 6
A plane-wave DFT calculation with PBE was carried out for a relaxed NaHgMo3 crystal.

Cell lengths 5.0359, 5.0359, 5.0359 Å; angles 90.00, 90.00, 90.00 degrees
Element x y z (fractional)
Na: 0.5000 0.5000 0.5000
Mo: 0.0000 0.5000 0.0000
Mo: 0.0000 0.0000 0.5000
Mo: 0.5000 0.0000 0.0000
Hg: 0.0000 0.0000 0.0000

Properties
**DFT total energy**: -21.42 eV for the cell shown
**Spin magnetization**: 0.0 μB/f.u.
**Excess energy over the best structure of this formula in the dataset**: 39 meV/atom
**Energy of formation from the pure elements**: 244.9 kJ/mol of atoms